Compound: Ti3SbH
Source: the Alexandria database
Functional: meta-GGA SCAN
Structure: PBEsol geometry

a = 4.103 Å, b = 4.103 Å, c = 4.103 Å
α = 90.00°, β = 90.00°, γ = 90.00°
Sites, in units of the cell vectors:
Ti1 0.000 0.000 0.500
Ti2 0.000 0.500 0.000
Ti3 0.500 0.000 0.000
Sb1 0.500 0.500 0.500
H1 0.000 0.000 0.000

Output
Calculated density   6.40 Mg/m³
Crystal system   cubic
Calculated total energy   -18.295 eV/atom
N(E_F)   0.9387 states/eV/atom
Space group   Pm-3m, No. 221